(1)
This record from Alexandria via LeMat-Bulk describes crystalline Sr2PmPt9 at its relaxed geometry. The functional is PBE-GGA.

Calculated values
DFT total energy ... -5.984 eV per atom
V ... 19.52 Å³ per atom
Total moment ... 0.00 μB/f.u.
Fermi-level density of states ... 8.9 states/eV/cell
Mass density ... 14.7 g/cm3

Cell: 9.552 9.552 9.552 Å, 33.33 33.33 33.33°
Positions (direct):
1 Sr 0.142 0.142 0.142
2 Sr 0.858 0.858 0.858
3 Pm 0.000 0.000 0.000
4 Pt 0.081 0.583 0.583
5 Pt 0.333 0.333 0.333
6 Pt 0.417 0.417 0.919
7 Pt 0.417 0.919 0.417
8 Pt 0.500 0.500 0.500
9 Pt 0.583 0.081 0.583
10 Pt 0.583 0.583 0.081
11 Pt 0.667 0.667 0.667
12 Pt 0.919 0.417 0.417

(2)
This record from Alexandria via LeMat-Bulk describes crystalline Rb2Tl3In4Ga at its relaxed geometry. The functional is PBE-GGA.

Calculated values
DFT total energy ... -2.366 eV per atom
V ... 33.26 Å³ per atom
Total moment ... 0.00 μB/f.u.
Fermi-level density of states ... 4.2 states/eV/cell
Mass density ... 6.6 g/cm3

Cell: 5.108 5.108 12.746 Å, 90.00 90.00 90.00°
Positions (direct):
1 Rb 0.000 0.500 0.244
2 Rb 0.500 0.000 0.756
3 Tl 0.000 0.000 0.000
4 Tl 0.000 0.500 0.641
5 Tl 0.500 0.000 0.359
6 In 0.000 0.000 0.500
7 In 0.000 0.500 0.876
8 In 0.500 0.000 0.124
9 In 0.500 0.500 0.500
10 Ga 0.500 0.500 0.000

(3)
This record from Alexandria via LeMat-Bulk describes crystalline CeScCo at its relaxed geometry. The functional is PBE-GGA.

Calculated values
DFT total energy ... -6.577 eV per atom
V ... 20.66 Å³ per atom
Energy above the lowest structure with this stoichiometry ... 168 meV/atom
Total moment ... 0.10 μB/f.u.
Fermi-level density of states ... 5.3 states/eV/cell
Mass density ... 6.5 g/cm3

Cell: 6.655 6.655 6.655 Å, 152.67 152.67 39.03°
Positions (direct):
1 Ce 0.000 0.000 0.000
2 Sc 0.264 0.264 0.000
3 Co 0.647 0.647 0.000

(4)
This record from Alexandria via LeMat-Bulk describes crystalline Pm5Co2Pb at its relaxed geometry. The functional is PBE-GGA.

Calculated values
DFT total energy ... -5.430 eV per atom
V ... 26.55 Å³ per atom
Total moment ... 0.00 μB/f.u.
Fermi-level density of states ... 18.4 states/eV/cell
Mass density ... 8.2 g/cm3

Cell: 8.874 8.874 8.874 Å, 127.67 127.67 77.16°
Positions (direct):
1 Pm 0.000 0.000 0.000
2 Pm 0.028 0.528 0.818
3 Pm 0.210 0.028 0.500
4 Pm 0.290 0.790 0.818
5 Pm 0.472 0.290 0.500
6 Pm 0.500 0.500 0.000
7 Pm 0.528 0.710 0.500
8 Pm 0.710 0.210 0.182
9 Pm 0.790 0.972 0.500
10 Pm 0.972 0.472 0.182
11 Co 0.138 0.362 0.500
12 Co 0.362 0.862 0.225
13 Co 0.638 0.138 0.775
14 Co 0.862 0.638 0.500
15 Pb 0.250 0.250 0.000
16 Pb 0.750 0.750 0.000

(5)
This record from Alexandria via LeMat-Bulk describes crystalline PaTa3 at its relaxed geometry. The functional is PBE-GGA.

Calculated values
DFT total energy ... -11.167 eV per atom
V ... 19.78 Å³ per atom
Energy above the lowest structure with this stoichiometry ... 0 meV/atom
Total moment ... 0.00 μB/f.u.
Fermi-level density of states ... 5.5 states/eV/cell
Mass density ... 16.2 g/cm3

Cell: 4.819 4.819 4.819 Å, 60.00 60.00 60.00°
Positions (direct):
1 Pa 0.000 0.000 0.000
2 Ta 0.250 0.250 0.250
3 Ta 0.500 0.500 0.500
4 Ta 0.750 0.750 0.750

(6)
This record from Alexandria via LeMat-Bulk describes crystalline InHgSeCl at its relaxed geometry. The functional is PBE-GGA.

Calculated values
DFT total energy ... -2.638 eV per atom
V ... 37.65 Å³ per atom
ΔE_f (raw) ... -545 meV per atom
Total moment ... 0.00 μB/f.u.
Mass density ... 4.7 g/cm3

Cell: 4.109 4.109 10.533 Å, 100.45 100.45 60.03°
Positions (direct):
1 In 0.000 0.000 0.000
2 Hg 0.198 0.198 0.568
3 Se 0.630 0.630 0.883
4 Cl 0.071 0.071 0.227

(7)
This record from Alexandria via LeMat-Bulk describes crystalline ZrBi at its relaxed geometry. The functional is PBE-GGA.

Calculated values
DFT total energy ... -5.762 eV per atom
V ... 37.43 Å³ per atom
Total moment ... 0.00 μB/f.u.
Fermi-level density of states ... 1.8 states/eV/cell
Mass density ... 6.7 g/cm3

Cell: 4.730 4.730 4.730 Å, 60.00 60.00 60.00°
Positions (direct):
1 Zr 0.000 0.000 0.000
2 Bi 0.750 0.750 0.750

(8)
This record from Alexandria via LeMat-Bulk describes crystalline CaTmCd2 at its relaxed geometry. The functional is PBE-GGA.

Calculated values
DFT total energy ... -2.416 eV per atom
V ... 26.39 Å³ per atom
Energy above the lowest structure with this stoichiometry ... 0 meV/atom
Total moment ... 0.00 μB/f.u.
Fermi-level density of states ... 2.1 states/eV/cell
Mass density ... 6.8 g/cm3

Cell: 5.327 5.327 3.720 Å, 90.00 90.00 90.00°
Positions (direct):
1 Ca 0.000 0.000 0.000
2 Tm 0.500 0.500 0.000
3 Cd 0.000 0.500 0.500
4 Cd 0.500 0.000 0.500

(9)
This record from Alexandria via LeMat-Bulk describes crystalline AcIn2Br5 at its relaxed geometry. The functional is PBE-GGA.

Calculated values
DFT total energy ... -3.608 eV per atom
V ... 35.57 Å³ per atom
ΔE_f (raw) ... -1364 meV per atom
Total moment ... 0.00 μB/f.u.
Fermi-level density of states ... 0.0 states/eV/cell
Mass density ... 5.0 g/cm3

Cell: 13.666 9.512 8.757 Å, 90.00 90.00 90.00°
Positions (direct):
1 Ac 0.005 0.250 0.082
2 Ac 0.495 0.750 0.582
3 Ac 0.505 0.250 0.418
4 Ac 0.995 0.750 0.918
5 In 0.175 0.503 0.536
6 In 0.175 0.997 0.536
7 In 0.325 0.003 0.036
8 In 0.325 0.497 0.036
9 In 0.675 0.503 0.964
10 In 0.675 0.997 0.964
11 In 0.825 0.003 0.464
12 In 0.825 0.497 0.464
13 Br 0.004 0.250 0.437
14 Br 0.083 0.546 0.167
15 Br 0.083 0.954 0.167
16 Br 0.188 0.250 0.876
17 Br 0.214 0.750 0.829
18 Br 0.286 0.250 0.329
19 Br 0.312 0.750 0.376
20 Br 0.417 0.046 0.667
21 Br 0.417 0.454 0.667
22 Br 0.496 0.750 0.937
23 Br 0.504 0.250 0.063
24 Br 0.583 0.546 0.333
25 Br 0.583 0.954 0.333
26 Br 0.688 0.250 0.624
27 Br 0.714 0.750 0.671
28 Br 0.786 0.250 0.171
29 Br 0.812 0.750 0.124
30 Br 0.917 0.046 0.833
31 Br 0.917 0.454 0.833
32 Br 0.996 0.750 0.563